FeCI2O | Alexandria via LeMat-Bulk | PBE+U | optimized geometry; polymorph energy (0 for the lowest one) = 14 meV/atom; VASP energy = -3.43 eV per atom; size of the total moment = 2.346 Bohr magnetons per cell
1.0
5.729 0.000 0.000
0.000 5.729 0.000
0.000 0.000 3.641
Fe C I O
1 1 2 1
direct
0.000 0.000 0.000
0.500 0.500 0.500
0.000 0.500 0.000
0.500 0.000 0.000
0.000 0.000 0.500